Here is an optimized crystal structure of SrV2Pb2O7 from Alexandria. Energies are from PBE with a Hubbard U.

Output
Spin magnetization   2.0 μB/f.u.
Electronic total energy   -6.73 eV/atom
Volume   18.322 Å³/atom

Cell lengths 5.6876, 5.6876, 23.5447 Å; angles 90.00, 90.00, 120.00 degrees
Closest atoms and distances in Å follow each position.
Space group R32 (No. 155, hexagonal axes)
One atom of each set of equivalent atoms:
Sr (0.0000, 0.0000, 0.0000)  6 O 2.59
V (0.0000, 0.0000, 0.4223)  4 O 1.81-1.83
Pb (0.0000, 0.0000, 0.2134)  3 O 2.27
O (0.0000, 0.0000, 0.5000)  2 V 1.83
O (0.0178, 0.3147, 0.4008)  1 V 1.81